1.
10
Lattice="4.710 0.000 0.000 -2.355 4.079 0.000 0.000 0.000 9.329" Properties=species:S:1:pos:R:3 comment="Sc3HgC | Alexandria | PBE-GGA | relaxed" density_g_cm3=6.4 magmom_total_mub_per_cell=0.0 de_polymorph_ev_per_atom=0.5185 delta_e_f_ev_per_atom=-0.037 vol_a3_per_cell=179.24 space_group="P6_3/mmc (194)" pbc="T T T"
Sc 0.000 0.000 2.332
Sc 0.000 0.000 6.997
Sc 0.000 2.719 0.585
Sc 0.000 2.719 4.080
Sc 2.355 1.360 5.250
Sc 2.355 1.360 8.744
Hg 0.000 2.719 6.997
Hg 2.355 1.360 2.332
C 0.000 0.000 0.000
C 0.000 0.000 4.665



2.
10
Lattice="3.139 -5.401 0.000 3.139 5.401 0.000 0.000 0.000 6.625" Properties=species:S:1:pos:R:3 comment="Sc3HgC | Alexandria | PBE-GGA | relaxed" density_g_cm3=5.1 magmom_total_mub_per_cell=0.0 de_polymorph_ev_per_atom=0.6312 delta_e_f_ev_per_atom=0.076 vol_a3_per_cell=224.67 space_group="Cmcm (63)" pbc="T T T"
Sc 0.000 0.000 0.000
Sc 0.000 0.000 3.312
Sc 1.581 2.688 4.969
Sc 4.698 2.688 4.969
Sc 1.581 -2.688 1.656
Sc 4.698 -2.688 1.656
Hg 3.139 0.024 1.656
Hg 3.139 -0.024 4.969
C 3.139 4.013 4.969
C 3.139 -4.013 1.656



3.
5
Lattice="4.251 0.000 0.000 0.000 4.251 0.000 0.000 0.000 4.251" Properties=species:S:1:pos:R:3 comment="ScHgC3 | Alexandria | PBE-GGA | relaxed" density_g_cm3=6.1 magmom_total_mub_per_cell=0.0 de_polymorph_ev_per_atom=0.3006 delta_e_f_ev_per_atom=2.740 vol_a3_per_cell=76.84 space_group="Pm-3m (221)" pbc="T T T"
Sc 0.000 0.000 0.000
Hg 2.126 2.126 2.126
C 0.000 2.126 2.126
C 2.126 0.000 2.126
C 2.126 2.126 0.000



4.
20
Lattice="0.000 6.047 6.047 6.047 0.000 6.047 6.047 6.047 0.000" Properties=species:S:1:pos:R:3 comment="Sc3HgC | Alexandria | PBE-GGA | relaxed" density_g_cm3=5.2 magmom_total_mub_per_cell=0.0 de_polymorph_ev_per_atom=0.3485 delta_e_f_ev_per_atom=-0.207 vol_a3_per_cell=442.24 space_group="Fd-3m (227)" pbc="T T T"
Sc 4.535 4.535 0.779
Sc 4.535 0.779 4.535
Sc 8.291 4.535 4.535
Sc 7.559 7.559 3.803
Sc 7.559 3.803 7.559
Sc 11.315 7.559 7.559
Sc 0.779 4.535 4.535
Sc 4.535 8.291 4.535
Sc 4.535 4.535 8.291
Sc 3.803 7.559 7.559
Sc 7.559 11.315 7.559
Sc 7.559 7.559 11.315
Hg 6.047 3.024 3.024
Hg 3.024 6.047 3.024
Hg 3.024 3.024 6.047
Hg 6.047 6.047 6.047
C 0.000 0.000 0.000
C 3.024 3.024 0.000
C 3.024 0.000 3.024
C 0.000 3.024 3.024



5.
10
Lattice="3.932 2.270 3.672 -3.932 2.270 3.672 0.000 -4.541 3.672" Properties=species:S:1:pos:R:3 comment="Sc3HgC | Alexandria | PBE-GGA | relaxed" density_g_cm3=5.9 magmom_total_mub_per_cell=1.9 de_polymorph_ev_per_atom=0.6522 delta_e_f_ev_per_atom=0.097 vol_a3_per_cell=196.68 space_group="R-3c (167)" pbc="T T T"
Sc -2.867 -0.426 4.590
Sc -1.065 -2.696 6.426
Sc 1.802 -2.270 4.590
Sc -1.802 2.270 6.426
Sc 1.065 2.696 4.590
Sc 2.867 0.426 6.426
Hg 0.000 0.000 0.000
Hg 0.000 0.000 5.508
C 0.000 0.000 2.754
C 0.000 0.000 8.262



6.
4
Lattice="1.673 0.966 7.563 -1.673 0.966 7.563 0.000 -1.932 7.563" Properties=species:S:1:pos:R:3 comment="Sc2HgC | Alexandria | PBE-GGA | relaxed" density_g_cm3=6.8 magmom_total_mub_per_cell=0.3 delta_e_f_ev_per_atom=-0.500 vol_a3_per_cell=73.36 space_group="R-3m (166)" pbc="T T T"
Sc 0.000 0.000 5.011
Sc 0.000 0.000 17.679
Hg 0.000 0.000 0.000
C 0.000 0.000 11.345